Computed, not measured: a relaxed structure of NbS2 at the PBE level of DFT.

Output
V ... 427 Å³/cell
Total magnetization ... 0.1 Bohr magnetons per cell
Crystal system ... monoclinic
Mass density ... 1.2 g cm⁻³
Raw total energy ... -42.79 eV for the cell shown

```
data_NbS2
_chemical_formula_sum 'Nb2 S4'
_symmetry_space_group_name_H-M 'C 1 2 1'
_symmetry_Int_Tables_number 5
_cell_length_a 3.356
_cell_length_b 5.783
_cell_length_c 22.053
_cell_angle_alpha 90.00
_cell_angle_beta 93.13
_cell_angle_gamma 90.00
loop_
_symmetry_equiv_pos_as_xyz
'x,y,z'
'-x,y,-z'
'x+1/2,y+1/2,z'
'-x+1/2,y+1/2,-z'
loop_
_atom_site_label
_atom_site_type_symbol
_atom_site_fract_x
_atom_site_fract_y
_atom_site_fract_z
Nb1 Nb 0.000 0.000 0.000
S1 S 0.026 0.334 0.071
```